Entry 1:
Sr2Re2F: optimized geometry, PBE-GGA.

Properties
- density (g/cm3) = 8.2
- M_tot (Bohr magnetons per cell) = 0.00
- energy (eV per atom) = -6.53
- space group = I4/mmm
- energy above the lowest structure with this stoichiometry (meV per atom) = 0

a = 9.1045 Å, b = 9.1045 Å, c = 9.1045 Å
α = 157.01°, β = 157.01°, γ = 32.74°
Closest atoms and distances in Å follow each position.
Positions (direct):
Sr  0.1023  0.1023  0.0000  4 F 3.13, 4 Re 3.15
Sr  0.8977  0.8977  0.0000  4 F 3.13, 4 Re 3.15
Re  0.2500  0.7500  0.5000  4 Re 2.57
Re  0.7500  0.2500  0.5000  4 Re 2.57
F  0.5000  0.5000  0.0000  8 Sr 3.13

Entry 2:
Sr2TiReF: optimized geometry, PBE-GGA.

Properties
- density (g/cm3) = 6.6
- M_tot (Bohr magnetons per cell) = 0.00
- energy (eV per atom) = -5.14
- space group = P4/mmm

a = 4.7773 Å, b = 4.7773 Å, c = 4.7342 Å
α = 90.00°, β = 90.00°, γ = 90.00°
Closest atoms and distances in Å follow each position.
Positions (direct):
Sr  0.0000  0.5000  0.0000  2 F 2.39
Sr  0.5000  0.0000  0.0000  2 F 2.39
Ti  0.0000  0.0000  0.5000  2 F 2.37
Re  0.5000  0.5000  0.5000  8 Sr 3.36, 4 Ti 3.38
F  0.0000  0.0000  0.0000  2 Ti 2.37, 4 Sr 2.39

Values for ΔE_f (raw), eV/f.u., ordered as above
-2.5, -0.1